The following is a DFT calculation (PBE with a Hubbard U) of a relaxed Sr2CoBrClO2 crystal. Values from VASP.

Geometry as Quantum ESPRESSO input:
```
&SYSTEM
  ibrav = 0, nat = 7, ntyp = 5
/
ATOMIC_SPECIES
Sr 87.62 Sr.upf
Br 79.90 Br.upf
O 16.00 O.upf
Co 58.93 Co.upf
Cl 35.45 Cl.upf
ATOMIC_POSITIONS crystal
Sr 0.3949 0.3949 0.0000
Sr 0.5987 0.5987 0.0000
Br 0.1831 0.1831 0.0000
O 0.9988 0.4988 0.5000
O 0.4988 0.9988 0.5000
Co 0.9962 0.9962 0.0000
Cl 0.8295 0.8295 0.0000
CELL_PARAMETERS angstrom
1.9512 8.2637 1.0381
-3.3082 7.2430 3.1253
1.8146 -8.3450 0.4919
```

Spin magnetization (μB per formula unit): 2.997
Calculated volume (Å³/atom): 19.0
Final energy (eV/atom): -5.211
Symmetry: I4mm (107)